Entry 1:
The following is a DFT calculation (PBE-GGA) of a relaxed structure of Li4PrTcO6.

abc: 5.5162 5.5162 5.1986
angles: 99.00 99.00 121.04
Closest atoms and distances in Å follow each position.
Positions (direct):
Li (0.0350, 0.9650, 0.5000)  4 O 1.94-2.11
O (0.3840, 0.0728, 0.7726)  2 Li 1.94-2.15, 1 Tc 1.97
Li (0.6421, 0.3579, 0.5000)  2 O 1.98
Tc (0.1660, 0.8340, 0.0000)  6 O 1.97-2.05
O (0.2578, 0.2151, 0.2486)  2 Li 1.98-2.11, 1 Tc 2.05
O (0.9272, 0.6160, 0.2274)  2 Li 1.94-2.15, 1 Tc 1.97
O (0.7849, 0.7422, 0.7514)  2 Li 1.98-2.11, 1 Tc 2.05
O (0.5202, 0.8931, 0.2437)  1 Tc 1.99, 1 Li 2.01
Li (0.5020, 0.4980, 0.0000)  6 O 2.15-2.29
Pr (0.8378, 0.1622, 0.0000)  6 O 2.32-2.35
Li (0.3361, 0.6639, 0.5000)  2 O 2.01
O (0.1069, 0.4798, 0.7563)  1 Tc 1.99, 1 Li 2.01

Properties
total DFT energy (no corrections) = -6.389 eV/atom
SG = C2 (5)

=====

Entry 2:
The following is a DFT calculation (PBE-GGA) of a relaxed structure of LiPrZnO3.

abc: 3.3298 5.5716 8.2622
angles: 89.94 89.51 89.47
Closest atoms and distances in Å follow each position.
Positions (direct):
O (0.8520, 0.5655, 0.6842)  1 Zn 1.97, 2 Li 2.11-2.13
Li (0.3433, 0.1833, 0.4536)  1 O 1.87
Zn (0.8476, 0.4151, 0.2546)  4 O 1.96-2.03
O (0.8504, 0.0820, 0.9617)  1 Zn 2.02
O (0.3510, 0.0445, 0.6601)  1 Li 1.87, 2 Zn 1.97
Pr (0.3484, 0.8845, 0.1452)  7 O 2.41-2.54
O (0.8419, 0.0724, 0.3139)  1 Zn 1.97, 2 Li 2.10-2.13
O (0.3447, 0.5533, 0.3404)  1 Li 1.86, 2 Zn 1.96-1.97
Zn (0.8514, 0.9068, 0.7472)  4 O 1.97-2.02
O (0.8518, 0.5829, 0.0368)  1 Zn 2.03
Pr (0.3515, 0.3817, 0.8545)  7 O 2.41-2.53
Li (0.3572, 0.6846, 0.5477)  1 O 1.86

Properties
total DFT energy (no corrections) = -6.037 eV/atom
SG = P1 (1)

=====

Entry 3:
The following is a DFT calculation (PBE-GGA) of a relaxed structure of Li3Pt2O6.

abc: 5.1681 5.2707 10.1208
angles: 98.25 101.95 120.57
Closest atoms and distances in Å follow each position.
Positions (direct):
Pt (0.8176, 0.1602, 0.5005)  6 O 1.99-2.11
O (0.9285, 0.5587, 0.6188)  2 Pt 1.99-2.02, 1 Li 1.99
Li (0.6987, 0.2990, 0.7735)  4 O 1.92-2.04
O (0.5665, 0.9197, 0.6191)  2 Pt 1.99-2.04, 3 Li 2.02-2.11
O (0.0583, 0.4090, 0.3794)  3 Pt 2.05-2.16, 1 Li 2.08
O (0.3924, 0.1142, 0.3940)  3 Pt 2.04-2.11, 1 Li 2.10
Li (0.2929, 0.6105, 0.2180)  3 O 1.92-2.02
Li (0.6731, 0.3504, 0.2299)  4 O 1.93-2.08
Pt (0.1508, 0.8292, 0.5031)  6 O 1.99-2.14
O (0.2407, 0.2250, 0.1169)  2 Li 1.99-2.00, 2 Pt 2.00-2.08
O (0.4317, 0.0741, 0.8841)  1 Pt 1.90, 3 Li 1.97-1.99
Pt (0.9869, 0.0143, 0.2369)  6 O 1.99-2.16
O (0.9277, 0.6378, 0.1225)  2 Pt 1.99-2.11, 3 Li 2.02-2.08
Pt (0.1752, 0.8403, 0.9854)  6 O 1.90-2.11
Li (0.5196, 0.5201, 0.5389)  4 O 1.99-2.10
O (0.1323, 0.4750, 0.8858)  3 Li 1.91-2.01, 1 Pt 1.92
O (0.7477, 0.7720, 0.3681)  3 Pt 2.09-2.12, 2 Li 2.16-2.25
O (0.7672, 0.7093, 0.8653)  1 Pt 1.90, 3 Li 1.96-2.04
Li (0.4903, 0.4658, 0.9738)  4 O 1.91-2.08
Li (0.3948, 0.7073, 0.7713)  4 O 1.96-2.11
O (0.2111, 0.2081, 0.6163)  2 Pt 1.99-2.00, 1 Li 2.02
O (0.5583, 0.9376, 0.1485)  2 Li 1.92-1.93, 2 Pt 2.01-2.07

Properties
E above lowest polymorph = 10.6 kJ per mole of atoms
SG = P1 (1)

=====

Entry 4:
The following is a DFT calculation (PBE-GGA) of a relaxed structure of LiPt2O4.

abc: 6.2208 6.2208 6.2208
angles: 120.00 90.00 120.00
Closest atoms and distances in Å follow each position.
Positions (direct):
Pt (0.8750, 0.2500, 0.6250)  6 O 2.09
O (0.1380, 0.2763, 0.4143)  3 Pt 2.09, 1 Li 2.10
Li (0.0000, 0.0000, 0.0000)  4 O 2.10
O (0.6118, 0.2237, 0.3880)  3 Pt 2.09, 1 Li 2.10
O (0.1382, 0.2763, 0.8620)  3 Pt 2.09, 1 Li 2.10
O (0.1643, 0.7763, 0.3880)  3 Pt 2.09, 1 Li 2.10
Pt (0.3750, 0.7500, 0.6250)  6 O 2.09
Pt (0.3750, 0.2500, 0.6250)  6 O 2.09
O (0.5857, 0.7237, 0.8620)  3 Pt 2.09, 1 Li 2.10
O (0.1380, 0.7237, 0.8618)  3 Pt 2.09, 1 Li 2.10
O (0.6120, 0.2237, 0.8357)  3 Pt 2.09, 1 Li 2.10
O (0.6120, 0.7763, 0.3882)  3 Pt 2.09, 1 Li 2.10
Li (0.7500, 0.5000, 0.2500)  4 O 2.10
Pt (0.3750, 0.7500, 0.1250)  6 O 2.09

Properties
total DFT energy (no corrections) = -5.539 eV/atom
SG = Fd-3m (227)

=====

Entry 5:
The following is a DFT calculation (PBE-GGA) of a relaxed structure of Li6Pt4O11.

abc: 10.3578 5.1924 4.9731
angles: 98.79 98.93 120.45
Closest atoms and distances in Å follow each position.
Positions (direct):
Pt (0.4146, 0.1656, 0.0016)  6 O 2.02-2.04
Li (0.2545, 0.5112, 0.9872)  4 O 1.94-2.10
O (0.2744, 0.9325, 0.2374)  2 Pt 2.01-2.03, 3 Li 2.04-2.24
Pt (0.0710, 0.8334, 0.9987)  5 O 1.99-2.12
O (0.7167, 0.0794, 0.7658)  2 Pt 2.00-2.11, 3 Li 2.07-2.17
O (0.9634, 0.5430, 0.2328)  2 Pt 2.02-2.03, 3 Li 2.06-2.24
Li (0.7448, 0.4878, 0.9929)  6 O 2.02-2.24
O (0.5409, 0.4342, 0.7682)  3 Li 1.99-2.11, 2 Pt 2.02-2.03
Li (0.1722, 0.7059, 0.5182)  5 O 2.03-2.15
Pt (0.9249, 0.1452, 0.9982)  5 O 2.00-2.11
O (0.3796, 0.7656, 0.7676)  3 Li 1.94-2.16, 2 Pt 2.04
O (0.2124, 0.0962, 0.7778)  3 Li 2.03-2.18, 2 Pt 2.04
O (0.4572, 0.5691, 0.2311)  2 Pt 2.02-2.03, 3 Li 2.04-2.17
O (0.8732, 0.7430, 0.7556)  2 Pt 1.99-2.00, 3 Li 2.02-2.11
O (0.6153, 0.2337, 0.2273)  3 Li 2.02-2.16, 2 Pt 2.02-2.03
Pt (0.5827, 0.8390, 0.9969)  6 O 2.00-2.04
O (0.7833, 0.9119, 0.2302)  2 Pt 2.03, 3 Li 2.07-2.14
O (0.0513, 0.4250, 0.7792)  2 Li 1.98-2.15, 2 Pt 2.00-2.12
Li (0.6705, 0.6560, 0.4948)  6 O 2.07-2.17
Li (0.3494, 0.3537, 0.5120)  5 O 1.99-2.18
Li (0.8274, 0.3278, 0.4952)  6 O 2.07-2.28

Properties
E above lowest polymorph = 0.0 kJ per mole of atoms
SG = P1 (1)

=====

Entry 6:
The following is a DFT calculation (PBE-GGA) of a relaxed structure of Li2PtO3.

abc: 5.6995 5.6995 5.6995
angles: 51.41 51.41 51.41
Closest atoms and distances in Å follow each position.
Positions (direct):
O (0.9146, 0.2500, 0.5854)  4 Li 2.01-2.12, 2 Pt 2.05
Li (0.6734, 0.6734, 0.6734)  6 O 2.01-2.12
O (0.4146, 0.0854, 0.7500)  4 Li 2.01-2.12, 2 Pt 2.05
Li (0.3266, 0.3266, 0.3266)  6 O 2.01-2.12
Li (0.1734, 0.1734, 0.1734)  6 O 2.01-2.12
O (0.5854, 0.9146, 0.2500)  4 Li 2.01-2.12, 2 Pt 2.05
O (0.7500, 0.4146, 0.0854)  4 Li 2.01-2.12, 2 Pt 2.05
Li (0.8266, 0.8266, 0.8266)  6 O 2.01-2.12
O (0.0854, 0.7500, 0.4146)  4 Li 2.01-2.12, 2 Pt 2.05
O (0.2500, 0.5854, 0.9146)  4 Li 2.01-2.12, 2 Pt 2.05
Pt (0.0000, 0.0000, 0.0000)  6 O 2.05
Pt (0.5000, 0.5000, 0.5000)  6 O 2.05

Properties
total DFT energy (no corrections) = -5.380 eV/atom
SG = R-3c (167)

=====

Entry 7:
The following is a DFT calculation (PBE-GGA) of a relaxed structure of Li3Pt2O6.

abc: 5.1715 5.1715 5.0551
angles: 100.33 100.33 118.96
Closest atoms and distances in Å follow each position.
Positions (direct):
Li (0.0014, 0.9986, 0.5000)  6 O 2.09-2.18
O (0.4089, 0.0649, 0.7623)  2 Pt 2.01-2.02, 3 Li 2.09-2.12
Li (0.3439, 0.6561, 0.5000)  6 O 2.08-2.22
Pt (0.8274, 0.1726, 0.0000)  6 O 2.01-2.02
O (0.0835, 0.4232, 0.7778)  2 Pt 2.01-2.02, 3 Li 2.09-2.22
O (0.2221, 0.2323, 0.2344)  2 Pt 2.01-2.04, 3 Li 2.08-2.16
Li (0.5062, 0.4938, 0.0000)  6 O 2.09-2.16
O (0.5768, 0.9165, 0.2222)  2 Pt 2.01-2.02, 3 Li 2.09-2.22
O (0.7677, 0.7779, 0.7656)  2 Pt 2.01-2.04, 3 Li 2.08-2.16
Pt (0.1658, 0.8342, 0.0000)  6 O 2.01-2.04
O (0.9351, 0.5911, 0.2377)  2 Pt 2.01-2.02, 3 Li 2.09-2.12

Properties
E above lowest polymorph = 0.2 kJ per mole of atoms
SG = C2 (5)

=====

Entry 8:
The following is a DFT calculation (PBE-GGA) of a relaxed structure of Li2Pt2O5.

abc: 8.2250 3.3250 3.3250
angles: 90.00 90.00 90.00
Closest atoms and distances in Å follow each position.
Positions (direct):
Pt (0.5000, 0.0000, 0.0000)  4 O 2.35
O (0.8537, 0.5000, 0.0000)  2 Li 1.93, 2 Pt 2.05
O (0.8537, 0.0000, 0.5000)  2 Li 1.93, 2 Pt 2.05
Li (0.7342, 0.5000, 0.5000)  5 O 1.93
O (0.1463, 0.5000, 0.0000)  2 Li 1.93, 2 Pt 2.05
Li (0.2659, 0.5000, 0.5000)  5 O 1.93
O (0.5000, 0.5000, 0.5000)  2 Li 1.93
O (0.1463, 0.0000, 0.5000)  2 Li 1.93, 2 Pt 2.05
Pt (0.0000, 0.0000, 0.0000)  8 O 2.05

Properties
E above lowest polymorph = 14.7 kJ per mole of atoms
SG = P4/mmm (123)

=====

Entry 9:
The following is a DFT calculation (PBE-GGA) of a relaxed structure of Li8Pt4O11.

abc: 10.3731 5.1607 5.0330
angles: 99.77 99.79 120.18
Closest atoms and distances in Å follow each position.
Positions (direct):
O (0.7104, 0.0828, 0.7628)  2 Pt 2.04-2.16, 4 Li 2.05-2.18
Li (0.8282, 0.3316, 0.4969)  6 O 2.10-2.17
Li (0.3201, 0.3148, 0.5069)  5 O 1.99-2.15
O (0.2136, 0.0898, 0.7657)  4 Li 1.99-2.17, 2 Pt 2.04-2.05
O (0.3771, 0.7388, 0.7522)  4 Li 2.00-2.13, 2 Pt 2.04-2.24
O (0.7858, 0.9132, 0.2376)  2 Pt 2.05, 4 Li 2.07-2.15
Li (0.9989, 0.0000, 0.4977)  6 O 2.08-2.17
O (0.8828, 0.7632, 0.7608)  4 Li 2.02-2.13, 2 Pt 2.05
Pt (0.4245, 0.1960, 0.0050)  5 O 2.02-2.24
Pt (0.0857, 0.8380, 0.9998)  6 O 2.04-2.05
O (0.5411, 0.4213, 0.7512)  2 Pt 2.00-2.02, 4 Li 2.00-2.15
Li (0.7506, 0.4937, 0.0022)  6 O 2.05-2.13
Pt (0.9141, 0.1648, 0.0005)  6 O 2.04-2.06
Li (0.2426, 0.5013, 0.9771)  5 O 2.00-2.16
Li (0.1738, 0.6676, 0.5035)  6 O 2.08-2.18
O (0.0363, 0.4207, 0.7607)  4 Li 2.02-2.17, 2 Pt 2.04-2.05
O (0.6153, 0.2249, 0.2419)  4 Li 2.03-2.13, 2 Pt 2.05-2.08
Pt (0.5737, 0.8053, 0.0037)  5 O 2.00-2.16
Li (0.5046, 0.0246, 0.5149)  5 O 2.00-2.16
O (0.1195, 0.2423, 0.2376)  2 Pt 2.05-2.06, 4 Li 2.09-2.14
O (0.9637, 0.5822, 0.2394)  2 Pt 2.04, 4 Li 2.10-2.17
O (0.2950, 0.9400, 0.2398)  4 Li 2.03-2.18, 2 Pt 2.05-2.06
Li (0.6812, 0.6633, 0.5028)  5 O 2.02-2.18

Properties
E above lowest polymorph = 0.0 kJ per mole of atoms
SG = P1 (1)

=====

Please write out number 6 again, unchanged.
The following is a DFT calculation (PBE-GGA) of a relaxed structure of Li2PtO3.

abc: 5.6995 5.6995 5.6995
angles: 51.41 51.41 51.41
Closest atoms and distances in Å follow each position.
Positions (direct):
O (0.9146, 0.2500, 0.5854)  4 Li 2.01-2.12, 2 Pt 2.05
Li (0.6734, 0.6734, 0.6734)  6 O 2.01-2.12
O (0.4146, 0.0854, 0.7500)  4 Li 2.01-2.12, 2 Pt 2.05
Li (0.3266, 0.3266, 0.3266)  6 O 2.01-2.12
Li (0.1734, 0.1734, 0.1734)  6 O 2.01-2.12
O (0.5854, 0.9146, 0.2500)  4 Li 2.01-2.12, 2 Pt 2.05
O (0.7500, 0.4146, 0.0854)  4 Li 2.01-2.12, 2 Pt 2.05
Li (0.8266, 0.8266, 0.8266)  6 O 2.01-2.12
O (0.0854, 0.7500, 0.4146)  4 Li 2.01-2.12, 2 Pt 2.05
O (0.2500, 0.5854, 0.9146)  4 Li 2.01-2.12, 2 Pt 2.05
Pt (0.0000, 0.0000, 0.0000)  6 O 2.05
Pt (0.5000, 0.5000, 0.5000)  6 O 2.05

Properties
total DFT energy (no corrections) = -5.380 eV/atom
SG = R-3c (167)

=====

Repeat the seventh record exactly.
The following is a DFT calculation (PBE-GGA) of a relaxed structure of Li3Pt2O6.

abc: 5.1715 5.1715 5.0551
angles: 100.33 100.33 118.96
Closest atoms and distances in Å follow each position.
Positions (direct):
Li (0.0014, 0.9986, 0.5000)  6 O 2.09-2.18
O (0.4089, 0.0649, 0.7623)  2 Pt 2.01-2.02, 3 Li 2.09-2.12
Li (0.3439, 0.6561, 0.5000)  6 O 2.08-2.22
Pt (0.8274, 0.1726, 0.0000)  6 O 2.01-2.02
O (0.0835, 0.4232, 0.7778)  2 Pt 2.01-2.02, 3 Li 2.09-2.22
O (0.2221, 0.2323, 0.2344)  2 Pt 2.01-2.04, 3 Li 2.08-2.16
Li (0.5062, 0.4938, 0.0000)  6 O 2.09-2.16
O (0.5768, 0.9165, 0.2222)  2 Pt 2.01-2.02, 3 Li 2.09-2.22
O (0.7677, 0.7779, 0.7656)  2 Pt 2.01-2.04, 3 Li 2.08-2.16
Pt (0.1658, 0.8342, 0.0000)  6 O 2.01-2.04
O (0.9351, 0.5911, 0.2377)  2 Pt 2.01-2.02, 3 Li 2.09-2.12

Properties
E above lowest polymorph = 0.2 kJ per mole of atoms
SG = C2 (5)

=====

Copy entry 6 word for word.
The following is a DFT calculation (PBE-GGA) of a relaxed structure of Li2PtO3.

abc: 5.6995 5.6995 5.6995
angles: 51.41 51.41 51.41
Closest atoms and distances in Å follow each position.
Positions (direct):
O (0.9146, 0.2500, 0.5854)  4 Li 2.01-2.12, 2 Pt 2.05
Li (0.6734, 0.6734, 0.6734)  6 O 2.01-2.12
O (0.4146, 0.0854, 0.7500)  4 Li 2.01-2.12, 2 Pt 2.05
Li (0.3266, 0.3266, 0.3266)  6 O 2.01-2.12
Li (0.1734, 0.1734, 0.1734)  6 O 2.01-2.12
O (0.5854, 0.9146, 0.2500)  4 Li 2.01-2.12, 2 Pt 2.05
O (0.7500, 0.4146, 0.0854)  4 Li 2.01-2.12, 2 Pt 2.05
Li (0.8266, 0.8266, 0.8266)  6 O 2.01-2.12
O (0.0854, 0.7500, 0.4146)  4 Li 2.01-2.12, 2 Pt 2.05
O (0.2500, 0.5854, 0.9146)  4 Li 2.01-2.12, 2 Pt 2.05
Pt (0.0000, 0.0000, 0.0000)  6 O 2.05
Pt (0.5000, 0.5000, 0.5000)  6 O 2.05

Properties
total DFT energy (no corrections) = -5.380 eV/atom
SG = R-3c (167)